In12Ag3S5 | GGA-PBE | relaxed

Calculated values
Formation energy without anion corrections: -0.073 eV per atom
Space-group type: Ia-3d (230)
Density of states at the Fermi level: 0.413 states/eV/atom

Cell: 14.3266 14.3266 14.3266 Å, 109.47 109.47 109.47°
Fractional coordinates of all 80 atoms:
In  0.3603  0.4196  0.0900
In  0.4100  0.1397  0.5804
In  0.4100  0.2703  0.3296
In  0.2297  0.5593  0.6397
In  0.2703  0.8603  0.9407
In  0.7703  0.3296  0.9100
In  0.1704  0.0900  0.7297
In  0.9407  0.5804  0.1704
In  0.8603  0.2703  0.4407
In  0.3296  0.7703  0.4100
In  0.5593  0.3296  0.9196
In  0.4196  0.3603  0.5900
In  0.7703  0.4407  0.3603
In  0.0900  0.1704  0.2297
In  0.9407  0.3603  0.2703
In  0.3296  0.5593  0.4196
In  0.5593  0.2297  0.1397
In  0.6397  0.5804  0.9100
In  0.1397  0.4100  0.0804
In  0.0804  0.9100  0.1397
In  0.4407  0.7703  0.8603
In  0.5900  0.8603  0.4196
In  0.5900  0.7297  0.6704
In  0.1397  0.7297  0.5593
In  0.2703  0.4100  0.8296
In  0.0593  0.6397  0.7297
In  0.9196  0.8296  0.5593
In  0.4196  0.0593  0.3296
In  0.5804  0.6397  0.4100
In  0.0593  0.4196  0.8296
In  0.9196  0.0900  0.8603
In  0.7297  0.1397  0.0593
In  0.4407  0.6704  0.0804
In  0.3603  0.9407  0.7703
In  0.8296  0.9100  0.2703
In  0.1704  0.0804  0.9407
In  0.8603  0.5900  0.9196
In  0.0804  0.1704  0.4407
In  0.6397  0.0593  0.2297
In  0.0900  0.9196  0.3603
In  0.8296  0.9196  0.0593
In  0.9100  0.8296  0.7703
In  0.2297  0.6704  0.0900
In  0.6704  0.4407  0.5804
In  0.9100  0.0804  0.6397
In  0.6704  0.2297  0.5900
In  0.5804  0.9407  0.6704
In  0.7297  0.5900  0.1704
S  0.5000  0.5000  0.5000
S  0.8750  0.6250  0.7500
S  0.6250  0.7500  0.8750
S  0.3750  0.1250  0.7500
S  0.7500  0.1250  0.8750
S  0.8750  0.2500  0.6250
S  0.5000  0.0000  0.5000
S  0.0000  0.5000  0.5000
S  0.3750  0.2500  0.1250
S  0.6250  0.8750  0.2500
S  0.2500  0.3750  0.6250
S  0.5000  0.0000  0.0000
S  0.2500  0.8750  0.1250
S  0.0000  0.0000  0.0000
S  0.0000  0.5000  0.0000
S  0.5000  0.5000  0.0000
S  0.7500  0.6250  0.3750
S  0.1250  0.3750  0.2500
S  0.1250  0.7500  0.3750
S  0.0000  0.0000  0.5000
Ag  0.7500  0.3750  0.1250
Ag  0.1250  0.2500  0.8750
Ag  0.3750  0.6250  0.2500
Ag  0.2500  0.1250  0.3750
Ag  0.6250  0.2500  0.3750
Ag  0.8750  0.1250  0.2500
Ag  0.6250  0.3750  0.7500
Ag  0.8750  0.7500  0.1250
Ag  0.1250  0.8750  0.7500
Ag  0.2500  0.6250  0.8750
Ag  0.3750  0.7500  0.6250
Ag  0.7500  0.8750  0.6250